Record 1
Density functional theory data (GGA-PBE) for an optimized crystal structure of Ho3Al9Pt2. Values from VASP.

Values from the calculation:
space group: Immm, No. 71
DOS(E_F): 5.804 states/eV/cell
crystal system: orthorhombic
M_tot: 0.0 μB per formula unit
ΔE_f: -9.85 eV/f.u.

Quantum ESPRESSO input file:
```
&SYSTEM
  ibrav = 0, nat = 14, ntyp = 3
/
ATOMIC_SPECIES
Ho 164.93 Ho.upf
Al 26.98 Al.upf
Pt 195.08 Pt.upf
ATOMIC_POSITIONS angstrom
Ho 0.0000 0.0000 0.0000
Ho 0.0000 0.0000 3.8032
Ho 0.0000 0.0000 8.4664
Al 2.1244 -1.3049 1.9494
Al 2.1244 -2.1841 4.5623
Al 2.1244 1.3049 1.9494
Al 0.0000 2.8313 1.5725
Al 0.0000 5.0153 0.0000
Al 2.1244 2.1841 4.5623
Al 0.0000 3.7105 4.1855
Al 0.0000 7.1994 1.5725
Al 0.0000 6.3202 4.1855
Pt 2.1244 2.9447 0.0000
Pt 0.0000 2.0707 6.1348
CELL_PARAMETERS angstrom
-2.1244 5.0153 6.1348
2.1244 -5.0153 6.1348
2.1244 5.0153 -6.1348
```


Record 2
Density functional theory data (GGA-PBE) for an optimized crystal structure of YSi2Se. Values from VASP.

Values from the calculation:
space group: P4/mmm, No. 123
DOS(E_F): 1.927 states/eV/cell
energy relative to the elements, uncorrected: -0.373 eV/atom
crystal system: tetragonal
M_tot: 0.0 μB per formula unit

Quantum ESPRESSO input file:
```
&SYSTEM
  ibrav = 0, nat = 4, ntyp = 3
/
ATOMIC_SPECIES
Y 88.91 Y.upf
Si 28.09 Si.upf
Se 78.96 Se.upf
ATOMIC_POSITIONS angstrom
Y 0.0000 0.0000 0.0000
Si 0.0000 1.9112 2.8704
Si 1.9112 0.0000 2.8704
Se 1.9112 1.9112 0.0000
CELL_PARAMETERS angstrom
3.8224 0.0000 0.0000
0.0000 3.8224 0.0000
0.0000 0.0000 5.7408
```


Record 3
Density functional theory data (GGA-PBE) for an optimized crystal structure of LaPa2Os. Values from VASP.

Values from the calculation:
energy relative to the lowest polymorph listed for this composition: 0.000 eV per atom
space group: P4/mmm, No. 123
DOS(E_F): 6.681 states/eV/cell
crystal system: tetragonal
M_tot: 0.0 μB per formula unit
ΔE_f: -0.08 eV/f.u.

Quantum ESPRESSO input file:
```
&SYSTEM
  ibrav = 0, nat = 4, ntyp = 3
/
ATOMIC_SPECIES
La 138.91 La.upf
Pa 231.04 Pa.upf
Os 190.23 Os.upf
ATOMIC_POSITIONS angstrom
La 0.0000 0.0000 0.0000
Pa 1.8075 1.8075 2.3718
Pa 1.8075 1.8075 5.2743
Os 0.0000 0.0000 3.8230
CELL_PARAMETERS angstrom
3.6149 0.0000 0.0000
0.0000 3.6149 0.0000
0.0000 0.0000 7.6461
```


Record 4
Density functional theory data (GGA-PBE) for an optimized crystal structure of Nd4Zn2In. Values from VASP.

Values from the calculation:
energy relative to the lowest polymorph listed for this composition: 0.110 eV per atom
space group: R-3m, No. 166
DOS(E_F): 7.959 states/eV/cell
crystal system: trigonal
M_tot: 0.0 μB per formula unit
ΔE_f: -0.84 eV/f.u.

Quantum ESPRESSO input file:
```
&SYSTEM
  ibrav = 0, nat = 7, ntyp = 3
/
ATOMIC_SPECIES
Nd 144.24 Nd.upf
Zn 65.41 Zn.upf
In 114.82 In.upf
ATOMIC_POSITIONS angstrom
Nd 0.0000 0.0000 3.2572
Nd 0.0000 0.0000 7.9513
Nd 0.0000 0.0000 19.2505
Nd 0.0000 0.0000 23.9446
Zn 0.0000 0.0000 10.9314
Zn 0.0000 0.0000 16.2704
In 0.0000 0.0000 13.6009
CELL_PARAMETERS angstrom
2.5980 1.4999 9.0673
-2.5980 1.4999 9.0673
0.0000 -2.9999 9.0673
```


Record 5
Density functional theory data (GGA-PBE) for an optimized crystal structure of TcSbTe2. Values from VASP.

Values from the calculation:
space group: R-3m, No. 166
DOS(E_F): 4.699 states/eV/cell
energy relative to the elements, uncorrected: 0.720 eV/atom
crystal system: trigonal
M_tot: 1.0 μB per formula unit

Quantum ESPRESSO input file:
```
&SYSTEM
  ibrav = 0, nat = 4, ntyp = 3
/
ATOMIC_SPECIES
Tc 98.00 Tc.upf
Sb 121.76 Sb.upf
Te 127.60 Te.upf
ATOMIC_POSITIONS angstrom
Tc 0.0000 0.0000 0.0000
Sb 0.0000 0.0000 18.2525
Te 0.0000 0.0000 2.6006
Te 0.0000 0.0000 33.9045
CELL_PARAMETERS angstrom
1.5777 0.9109 12.1683
-1.5777 0.9109 12.1683
0.0000 -1.8218 12.1683
```


Record 6
Density functional theory data (GGA-PBE) for an optimized crystal structure of Y3Tm2. Values from VASP.

Values from the calculation:
space group: C2/c, No. 15
DOS(E_F): 17.851 states/eV/cell
crystal system: monoclinic
M_tot: 0.0 μB per formula unit
ΔE_f: 0.00 eV/f.u.

Quantum ESPRESSO input file:
```
&SYSTEM
  ibrav = 0, nat = 10, ntyp = 2
/
ATOMIC_SPECIES
Y 88.91 Y.upf
Tm 168.93 Tm.upf
ATOMIC_POSITIONS angstrom
Y 0.3097 1.0392 5.5863
Y 3.5532 2.0671 6.4495
Y 1.8729 -1.0392 1.2866
Y 6.7967 1.0392 7.3127
Y 5.1163 -2.0671 2.1498
Y 8.3598 -1.0392 3.0131
Tm 4.5562 1.0345 0.4274
Tm 5.6765 1.0345 3.8723
Tm 2.9931 -1.0345 4.7270
Tm 4.1134 -1.0345 8.1720
CELL_PARAMETERS angstrom
5.8979 -3.1280 0.0000
5.8979 3.1280 0.0000
-3.1263 0.0000 8.5994
```